Entry 1:
## LiTlSe2 (PBE-GGA)

Data for crystalline LiTlSe2 at its relaxed geometry.

abc: 4.3851 6.9244 7.9137
angles: 109.62 82.95 84.07
Closest atoms and distances in Å follow each position.
Sites, in units of the cell vectors:
Se1 0.3472 0.8904 0.2303  1 Se 2.50, 3 Li 2.58-2.73
Se2 0.7359 0.4544 0.6266  1 Se 2.45, 2 Li 2.57-2.66
Se3 0.4296 0.6401 0.3917  1 Se 2.50, 1 Li 2.59
Se4 0.6117 0.1785 0.7402  1 Se 2.45, 2 Li 2.59-2.73
Tl1 0.9756 0.4766 0.0414  7 Se 3.22-3.56, 1 Li 3.36
Tl2 0.1551 0.8475 0.8067  6 Se 3.13-3.48
Li1 0.2867 0.2524 0.4896  4 Se 2.57-2.73
Li2 0.8237 0.8996 0.4227  4 Se 2.58-2.73

Results
E_form (uncorrected) = -0.556 eV per atom

Entry 2:
## LiTlSe2 (PBE-GGA)

Data for crystalline LiTlSe2 at its relaxed geometry.

abc: 11.3347 11.3347 6.0348
angles: 90.00 90.00 165.54
Closest atoms and distances in Å follow each position.
Sites, in units of the cell vectors:
Li1 0.6865 0.3135 0.7500  3 Se 2.57-2.67, 2 Li 2.85
Li2 0.3135 0.6865 0.2500  3 Se 2.57-2.67, 2 Li 2.85
Tl1 0.9352 0.0648 0.7500  2 Tl 2.85, 3 Se 3.02-3.05
Tl2 0.0648 0.9352 0.2500  2 Tl 2.85, 3 Se 3.02-3.05
Se1 0.0860 0.9140 0.7500  2 Li 2.67, 2 Se 2.85
Se2 0.8008 0.1992 0.7500  1 Li 2.57, 2 Se 2.85
Se3 0.1992 0.8008 0.2500  1 Li 2.57, 2 Se 2.85
Se4 0.9140 0.0860 0.2500  2 Li 2.67, 2 Se 2.85

Results
E_form (uncorrected) = -0.373 eV per atom